Record 1
{"formula": "Ca2LaHg2", "functional": "PBEsol", "state": "optimized geometry", "cell": [[8.346, 0.000, 0.000], [0.000, 8.346, 0.000], [0.000, 0.000, 4.206]], "species": ["Ca", "Ca", "Ca", "Ca", "La", "La", "Hg", "Hg", "Hg", "Hg"], "fractional_positions": [[0.161, 0.339, 0.000], [0.339, 0.839, 0.000], [0.661, 0.161, 0.000], [0.839, 0.661, 0.000], [0.000, 0.000, 0.500], [0.500, 0.500, 0.500], [0.134, 0.634, 0.500], [0.366, 0.134, 0.500], [0.634, 0.866, 0.500], [0.866, 0.366, 0.500]], "delta_e_f_ev_per_atom": -0.445, "space_group": "P4/mbm", "dft_energy_ev_per_fu": -12.97}

---

Record 2
{"formula": "ErAg2SnS4", "functional": "PBEsol", "state": "optimized geometry", "cell": [[-2.677, 2.677, 5.594], [2.677, -2.677, 5.594], [2.677, 2.677, -5.594]], "species": ["Er", "Ag", "Ag", "Sn", "S", "S", "S", "S"], "fractional_positions": [[0.000, 0.000, 0.000], [0.250, 0.750, 0.500], [0.500, 0.500, 0.000], [0.750, 0.250, 0.500], [0.242, 0.242, 0.000], [0.504, 0.004, 0.500], [0.758, 0.758, 0.000], [0.996, 0.496, 0.500]], "space_group": "I-4m2", "dft_energy_ev_per_fu": -39.66, "formation_energy_uncorrected_ev_per_atom": -0.7888}

---

Record 3
{"formula": "BeNiSe2", "functional": "PBEsol", "state": "optimized geometry", "cell": [[1.722, 0.994, 5.653], [-1.722, 0.994, 5.653], [0.000, -1.989, 5.653]], "species": ["Be", "Ni", "Se", "Se"], "fractional_positions": [[0.000, 0.000, 0.000], [0.500, 0.500, 0.500], [0.251, 0.251, 0.251], [0.749, 0.749, 0.749]], "space_group": "R-3m", "dft_energy_ev_per_fu": -18.65, "formation_energy_uncorrected_ev_per_atom": -0.1974}